Material: PrCoOs
Method: DFT, PBE
State: relaxed

Computed properties:
As for the total energy: -7.748 eV per atom. The calculation puts the energy above the most stable polymorph in this dataset at 0 meV per atom. As for the crystal system: orthorhombic. Its energy of formation from the pure elements is -0.04 eV/atom.

Lattice parameters (Å, degrees): 5.1189 5.5473 7.6257 90.00 90.00 90.00
Closest atoms and distances in Å follow each position.
Space group Imma (No. 74)
Unique sites:
1 Pr 0.0000 0.2500 0.1214 x4  6 Co 3.05-3.20, 6 Os 3.11-3.21, 4 Pr 3.22-3.33
2 Co 0.0000 0.0000 0.5000 x4  4 Os 2.68, 2 Co 2.77
3 Os 0.2500 0.2500 0.7500 x4  2 Os 2.56, 4 Co 2.68

=====

Material: MoAu2N
Method: DFT, PBE
State: relaxed

Computed properties:
The calculation puts the uncorrected formation energy at 0.8137 eV per atom. As for the total energy: -5.614 eV per atom. As for the crystal system: tetragonal.

Lattice parameters (Å, degrees): 8.4087 8.4087 3.9345 90.00 90.00 90.00
Closest atoms and distances in Å follow each position.
Space group I-42d (No. 122)
Unique sites:
1 Mo 0.0000 0.0000 0.0000 x4  2 N 1.97
2 Au 0.1405 0.2500 0.6250 x8  2 N 2.46, 2 Au 2.69
3 N 0.0000 0.0000 0.5000 x4  2 Mo 1.97

=====

Material: Sr2ScCu
Method: DFT, PBE
State: relaxed

Computed properties:
As for the total energy: -3.118 eV per atom. The calculation puts the energy above the most stable polymorph in this dataset at 257 meV per atom. As for the crystal system: trigonal. Its energy of formation from the pure elements is 0.33 eV/atom.

Lattice parameters (Å, degrees): 3.9557 3.9557 30.3691 90.00 90.00 120.00
Closest atoms and distances in Å follow each position.
Space group R-3m (No. 166, hexagonal axes)
Unique sites:
1 Sr 0.0000 0.0000 0.2353 x6  3 Cu 3.09
2 Sc 0.0000 0.0000 0.0000 x3  6 Sr 3.75, 6 Sc 3.96
3 Cu 0.0000 0.0000 0.5000 x3  6 Sr 3.09

=====

> Number 2 is which compound?

MoAu2N